(1)
PRuF2: relaxed, PBE.

Values from the calculation:
- Final energy: -5.129 eV per atom
- Size of the total moment: 0.000 μB/f.u.

abc: 2.6264 2.6264 28.5355
angles: 90.00 90.00 120.00
Fractional coordinates of all 12 atoms:
P: 0.0000 0.0000 0.0000
P: 0.3333 0.6667 0.6667
P: 0.6667 0.3333 0.3333
Ru: 0.0000 0.0000 0.5000
Ru: 0.3333 0.6667 0.1667
Ru: 0.6667 0.3333 0.8333
F: 0.0000 0.0000 0.4338
F: 0.0000 0.0000 0.5662
F: 0.3333 0.6667 0.1004
F: 0.3333 0.6667 0.2329
F: 0.6667 0.3333 0.7671
F: 0.6667 0.3333 0.8996

(2)
PRuF2: relaxed, PBE.

Values from the calculation:
- Final energy: -4.527 eV per atom
- Size of the total moment: 2.615 μB/f.u.

abc: 5.8733 5.8733 5.8733
angles: 90.00 90.00 90.00
Fractional coordinates of all 16 atoms:
P: 0.0000 0.0000 0.0000
P: 0.0000 0.5000 0.5000
P: 0.5000 0.0000 0.5000
P: 0.5000 0.5000 0.0000
Ru: 0.0000 0.0000 0.5000
Ru: 0.0000 0.5000 0.0000
Ru: 0.5000 0.0000 0.0000
Ru: 0.5000 0.5000 0.5000
F: 0.2500 0.2500 0.2500
F: 0.2500 0.2500 0.7500
F: 0.2500 0.7500 0.2500
F: 0.2500 0.7500 0.7500
F: 0.7500 0.2500 0.2500
F: 0.7500 0.2500 0.7500
F: 0.7500 0.7500 0.2500
F: 0.7500 0.7500 0.7500